BaMgGaBi3 | PBE | optimized geometry

The value obtained for the density of states at the Fermi level is 5.06 states/eV/cell. For the total moment, the calculation gives 0.00 μB/f.u. The uncorrected energy comes out at -3.284 eV/atom. The formation energy is -0.253 eV per atom.

Unit cell a=9.433 b=9.433 c=7.198 alpha=90.00 beta=90.00 gamma=135.15
Sites, in units of the cell vectors:
Ba (0.193, 0.807, 0.750)
Ba (0.807, 0.193, 0.250)
Mg (0.096, 0.904, 0.250)
Mg (0.904, 0.096, 0.750)
Ga (0.412, 0.588, 0.250)
Ga (0.588, 0.412, 0.750)
Bi (0.245, 0.245, 0.000)
Bi (0.245, 0.245, 0.500)
Bi (0.256, 0.744, 0.250)
Bi (0.744, 0.256, 0.750)
Bi (0.755, 0.755, 0.000)
Bi (0.755, 0.755, 0.500)

BaNaGaBi2 | PBE | optimized geometry

The value obtained for the density of states at the Fermi level is 3.85 states/eV/cell. For the total moment, the calculation gives 0.00 μB/f.u. The uncorrected energy comes out at -2.332 eV/atom. The formation energy is 0.475 eV per atom.

Unit cell a=6.463 b=6.463 c=6.192 alpha=90.00 beta=90.00 gamma=90.00
Sites, in units of the cell vectors:
Ba (0.000, 0.000, 0.000)
Na (0.500, 0.500, 0.500)
Ga (0.000, 0.000, 0.500)
Bi (0.000, 0.500, 0.000)
Bi (0.500, 0.000, 0.000)

Ba2Na2GaBi4 | PBE | optimized geometry

The value obtained for the density of states at the Fermi level is 4.16 states/eV/cell. For the total moment, the calculation gives 0.00 μB/f.u. The uncorrected energy comes out at -3.234 eV/atom. The formation energy is -0.452 eV per atom.

Unit cell a=7.504 b=7.504 c=7.504 alpha=117.97 beta=117.97 gamma=93.55
Sites, in units of the cell vectors:
Ba (0.250, 0.750, 0.500)
Ba (0.750, 0.250, 0.500)
Na (0.209, 0.209, 0.000)
Na (0.791, 0.791, 0.000)
Ga (0.500, 0.500, 0.000)
Bi (0.232, 0.232, 0.463)
Bi (0.232, 0.768, 0.000)
Bi (0.768, 0.232, 0.000)
Bi (0.768, 0.768, 0.537)

Ba2Ga11BiO20 | PBE | optimized geometry

The value obtained for the density of states at the Fermi level is 0.00 states/eV/cell. The energy relative to the elements, uncorrected is -66.820 eV per formula unit. For the total moment, the calculation gives 0.00 μB/f.u. The uncorrected energy comes out at -6.088 eV/atom.

Unit cell a=9.922 b=9.922 c=5.195 alpha=104.35 beta=104.35 gamma=73.62
Sites, in units of the cell vectors:
Ba (0.000, 0.000, 0.000)
Ba (0.715, 0.715, 0.746)
Ga (0.080, 0.351, 0.243)
Ga (0.134, 0.563, 0.900)
Ga (0.220, 0.220, 0.733)
Ga (0.291, 0.866, 0.589)
Ga (0.351, 0.080, 0.243)
Ga (0.429, 0.705, 0.088)
Ga (0.563, 0.134, 0.900)
Ga (0.705, 0.429, 0.088)
Ga (0.724, 0.999, 0.402)
Ga (0.866, 0.291, 0.589)
Ga (0.999, 0.724, 0.402)
Bi (0.427, 0.427, 0.383)
O (0.006, 0.714, 0.760)
O (0.031, 0.267, 0.855)
O (0.042, 0.547, 0.164)
O (0.111, 0.845, 0.411)
O (0.157, 0.157, 0.347)
O (0.176, 0.412, 0.622)
O (0.267, 0.031, 0.855)
O (0.291, 0.291, 0.130)
O (0.316, 0.584, 0.111)
O (0.379, 0.883, 0.317)
O (0.412, 0.176, 0.622)
O (0.419, 0.713, 0.734)
O (0.547, 0.042, 0.164)
O (0.584, 0.316, 0.111)
O (0.609, 0.609, 0.236)
O (0.713, 0.419, 0.734)
O (0.714, 0.006, 0.760)
O (0.809, 0.809, 0.276)
O (0.845, 0.111, 0.411)
O (0.883, 0.379, 0.317)

Ba2GaBiO | PBE | optimized geometry

The value obtained for the density of states at the Fermi level is 0.39 states/eV/cell. The energy relative to the elements, uncorrected is -6.781 eV per formula unit. For the total moment, the calculation gives 0.00 μB/f.u. The uncorrected energy comes out at -4.499 eV/atom.

Unit cell a=7.077 b=4.664 c=10.254 alpha=90.00 beta=105.95 gamma=90.00
Sites, in units of the cell vectors:
Ba (0.183, 0.250, 0.408)
Ba (0.301, 0.750, 0.095)
Ba (0.699, 0.250, 0.905)
Ba (0.817, 0.750, 0.592)
Ga (0.353, 0.750, 0.671)
Ga (0.647, 0.250, 0.329)
Bi (0.174, 0.250, 0.791)
Bi (0.826, 0.750, 0.209)
O (0.373, 0.250, 0.229)
O (0.627, 0.750, 0.771)

Ba2Ga2BiO6 | PBE | optimized geometry

The value obtained for the density of states at the Fermi level is 2.58 states/eV/cell. The energy relative to the elements, uncorrected is -20.211 eV per formula unit. For the total moment, the calculation gives 0.00 μB/f.u. The uncorrected energy comes out at -5.795 eV/atom.

Unit cell a=7.180 b=7.180 c=7.180 alpha=50.54 beta=50.54 gamma=50.54
Sites, in units of the cell vectors:
Ba (0.207, 0.207, 0.207)
Ba (0.793, 0.793, 0.793)
Ga (0.433, 0.433, 0.433)
Ga (0.567, 0.567, 0.567)
Bi (0.000, 0.000, 0.000)
O (0.237, 0.752, 0.752)
O (0.248, 0.248, 0.763)
O (0.248, 0.763, 0.248)
O (0.752, 0.237, 0.752)
O (0.752, 0.752, 0.237)
O (0.763, 0.248, 0.248)